Record 1
MgSeBr2 | the Alexandria database | PBE | optimized geometry; energy relative to the elements, uncorrected = -2.72 eV/f.u.; offset from the most stable computed form = 6.7 kJ/mol of atoms; crystal system = monoclinic; density = 3.5 g/cm3
1.0
15.584 0.000 0.000
0.000 3.712 0.000
-0.108 0.000 4.377
Mg Se Br
2 2 4
Direct
0.000 0.000 0.000
0.500 0.500 0.000
0.000 0.500 0.500
0.500 0.000 0.500
0.138 0.500 0.170
0.362 0.000 0.830
0.638 0.000 0.170
0.862 0.500 0.830

---

Record 2
MgSeBr | the Alexandria database | PBE | optimized geometry; energy relative to the elements, uncorrected = -2.07 eV/f.u.; density of states at the Fermi level = 1.5 states/eV per cell; offset from the most stable computed form = 15.9 kJ/mol of atoms; crystal system = orthorhombic; density = 3.5 g/cm3
1.0
3.821 0.000 0.000
0.000 5.727 0.000
0.000 0.000 16.036
Mg Se Br
4 4 4
Direct
0.000 0.000 0.000
0.000 0.500 0.500
0.500 0.000 0.500
0.500 0.500 0.000
0.000 0.000 0.382
0.000 0.500 0.882
0.500 0.000 0.882
0.500 0.500 0.382
0.000 0.000 0.608
0.000 0.500 0.108
0.500 0.000 0.108
0.500 0.500 0.608

---

Record 3
Mg2SeBr | the Alexandria database | PBE | optimized geometry; energy relative to the elements, uncorrected = -2.97 eV/f.u.; density of states at the Fermi level = 3.0 states/eV per cell; offset from the most stable computed form = 13.1 kJ/mol of atoms; crystal system = trigonal; density = 2.6 g/cm3
1.0
4.163 0.000 0.000
-2.081 3.605 0.000
0.000 0.000 26.083
Mg Se Br
6 3 3
Direct
0.000 0.000 0.000
0.000 0.000 0.227
0.333 0.667 0.667
0.333 0.667 0.893
0.667 0.333 0.333
0.667 0.333 0.560
0.000 0.000 0.536
0.333 0.667 0.202
0.667 0.333 0.869
0.000 0.000 0.718
0.333 0.667 0.385
0.667 0.333 0.051

---

Record 4
MgSeBr2 | the Alexandria database | PBE | optimized geometry; energy relative to the elements, uncorrected = -1.52 eV/f.u.; density of states at the Fermi level = 3.2 states/eV per cell; offset from the most stable computed form = 35.7 kJ/mol of atoms; crystal system = orthorhombic; density = 2.7 g/cm3
1.0
3.693 0.000 0.000
0.000 9.391 0.000
0.000 0.000 9.224
Mg Se Br
2 2 4
Direct
0.000 0.000 0.000
0.500 0.500 0.000
0.000 0.500 0.208
0.500 0.000 0.208
0.000 0.000 0.427
0.000 0.500 0.812
0.500 0.000 0.812
0.500 0.500 0.427

---

Record 5
Mg2SeBr | the Alexandria database | PBE | optimized geometry; energy relative to the elements, uncorrected = -2.48 eV/f.u.; density of states at the Fermi level = 1.2 states/eV per cell; offset from the most stable computed form = 24.7 kJ/mol of atoms; crystal system = tetragonal; density = 4.0 g/cm3
1.0
4.948 0.000 0.000
0.000 4.948 0.000
0.000 0.000 3.530
Mg Se Br
2 1 1
Direct
0.000 0.500 0.000
0.500 0.000 0.000
0.000 0.000 0.500
0.500 0.500 0.500

---

Record 6
MgSeBr2 | the Alexandria database | PBE | optimized geometry; energy relative to the elements, uncorrected = -2.80 eV/f.u.; offset from the most stable computed form = 4.7 kJ/mol of atoms; crystal system = monoclinic; density = 3.4 g/cm3
1.0
11.131 0.000 0.000
0.000 3.819 0.000
-1.053 0.000 6.068
Mg Se Br
2 2 4
Direct
0.000 0.000 0.000
0.500 0.500 0.000
0.154 0.500 0.165
0.654 0.000 0.165
0.023 0.500 0.440
0.347 0.000 0.831
0.523 0.000 0.440
0.847 0.500 0.831